First-principles (PBE-GGA) data for an optimized crystal structure of AlRhW2, as listed in the Alexandria database.

## Properties
DFT formation energy   -62 meV per atom
Total moment   0.0 μB/f.u.
Electronic total energy   -9.31 eV per atom
D(E_F)   2.26 states/eV per cell

Lattice parameters (Å, degrees): 4.7398 4.7398 4.9769 83.60 83.60 33.62
Fractional positions:
W (0.0084, 0.0084, 0.0092)
W (0.2499, 0.2499, 0.2490)
Rh (0.7470, 0.7470, 0.7284)
Al (0.4947, 0.4947, 0.5135)



First-principles (PBE-GGA) data for an optimized crystal structure of AlRhW2, as listed in the Alexandria database.

## Properties
DFT formation energy   -137 meV per atom
Total moment   0.0 μB/f.u.
Electronic total energy   -9.39 eV per atom
D(E_F)   2.11 states/eV per cell

Lattice parameters (Å, degrees): 4.2088 2.7445 5.8107 64.84 90.00 90.00
Fractional positions:
W (0.0000, 0.0082, 0.0055)
W (0.0000, 0.4918, 0.4945)
Al (0.5000, 0.2500, 0.2500)
Rh (0.5000, 0.7500, 0.7500)



Q: The highest electronic total energy belongs to which entry?
A: number 1



Q: Number 1 is which compound?
A: AlRhW2



Q: What is the DFT formation energy in the first record?
A: -62 meV per atom